FeSe2NO | GGA+U | optimized geometry

## Properties
The density of states at the Fermi level is 2.10 states/eV/cell. The value obtained for the energy above the most stable polymorph in this dataset is 0.000 eV/atom. For the total energy, the calculation gives -0.290 Ry/atom.

The structure in POSCAR format:
```
FeSe2NO
1.0
4.3531 0.0000 0.0000
0.0000 4.3531 0.0000
0.0000 0.0000 3.9582
Fe Se N O
1 2 1 1
direct
0.0000 0.0000 0.0000 Fe
0.0000 0.5000 0.5000 Se
0.5000 0.0000 0.5000 Se
0.5000 0.5000 0.0000 N
0.5000 0.5000 0.5000 O
```